Entry 1:
Material: BaInRe2Pd
Method: DFT, PBE
State: optimized geometry

Results
The total energy comes out at -4.6962 eV/atom. The calculation puts the formation energy from the elements at 11.269 eV/f.u. As for the crystal system: tetragonal.

a b c (Å): 4.941 6.050 4.941
angles (deg): 90.00 90.00 90.00
Sites, in units of the cell vectors:
Re1 0.500 0.000 0.000
Re2 0.000 0.000 0.500
Ba1 0.000 0.500 0.000
Pd1 0.500 0.500 0.500
In1 0.000 0.000 0.000

Entry 2:
Material: MgFeBr2
Method: DFT, PBE
State: optimized geometry

Results
The total energy comes out at -3.4641 eV/atom. The value obtained for the formation energy without anion corrections is -11 kJ per mole of atoms. The value obtained for the energy above the most stable polymorph in this dataset is 0.1792 eV/atom. As for the crystal system: orthorhombic.

a b c (Å): 6.366 6.366 6.366
angles (deg): 148.83 106.96 81.53
Sites, in units of the cell vectors:
Fe1 0.500 0.500 0.000
Br1 0.940 0.940 0.000
Br2 0.317 0.817 0.500
Mg1 0.743 0.243 0.500

Entry 3:
Material: Sc2Hg2Pd3
Method: DFT, PBE
State: optimized geometry

Results
The total energy comes out at -4.7446 eV/atom. The value obtained for the energy above the most stable polymorph in this dataset is 0.0361 eV/atom. The calculation puts the formation energy from the elements at -4.367 eV/f.u. As for the crystal system: triclinic.

a b c (Å): 4.650 4.624 7.762
angles (deg): 89.92 107.47 119.95
Sites, in units of the cell vectors:
Pd1 0.474 0.736 0.215
Pd2 0.000 0.000 0.000
Pd3 0.526 0.264 0.785
Sc1 0.772 0.386 0.160
Sc2 0.228 0.614 0.840
Hg1 0.741 0.871 0.608
Hg2 0.259 0.129 0.392

Entry 4:
Material: GaFeCl3
Method: DFT, PBE
State: optimized geometry

Results
The total energy comes out at -3.9944 eV/atom. The value obtained for the formation energy without anion corrections is -57 kJ per mole of atoms. The value obtained for the energy above the most stable polymorph in this dataset is 0.0000 eV/atom. As for the crystal system: cubic.

a b c (Å): 4.800 4.800 4.800
angles (deg): 90.00 90.00 90.00
Sites, in units of the cell vectors:
Cl1 0.500 0.000 0.000
Cl2 0.000 0.500 0.000
Cl3 0.000 0.000 0.500
Fe1 0.000 0.000 0.000
Ga1 0.500 0.500 0.500

Entry 5:
Material: LaRe2Hg
Method: DFT, PBE
State: optimized geometry

Results
The total energy comes out at -6.5528 eV/atom. The value obtained for the energy above the most stable polymorph in this dataset is 0.8030 eV/atom. The calculation puts the formation energy from the elements at 3.914 eV/f.u. As for the crystal system: orthorhombic.

a b c (Å): 5.569 5.569 2.761
angles (deg): 90.00 90.00 112.14
Sites, in units of the cell vectors:
Re1 0.500 0.500 0.000
Re2 0.000 0.000 0.000
Hg1 0.500 0.000 0.500
La1 0.000 0.500 0.500

Entry 6:
Material: Ti2MnOs
Method: DFT, PBE
State: optimized geometry

Results
The total energy comes out at -9.5432 eV/atom. The value obtained for the energy above the most stable polymorph in this dataset is 0.0003 eV/atom. The calculation puts the formation energy from the elements at -1.984 eV/f.u. As for the crystal system: tetragonal.

a b c (Å): 3.043 3.043 6.087
angles (deg): 90.00 90.00 90.00
Sites, in units of the cell vectors:
Mn1 0.500 0.500 0.000
Ti1 0.000 0.000 0.242
Ti2 0.000 0.000 0.758
Os1 0.500 0.500 0.500

Entry 7:
Material: Pr2Al4Pt3Rh
Method: DFT, PBE
State: optimized geometry

Results
The total energy comes out at -6.0834 eV/atom. The calculation puts the formation energy from the elements at -10.831 eV/f.u. As for the crystal system: tetragonal.

a b c (Å): 4.298 4.298 10.372
angles (deg): 90.00 90.00 90.00
Sites, in units of the cell vectors:
Al1 0.000 0.500 0.375
Al2 0.000 0.000 0.000
Al3 0.500 0.000 0.625
Al4 0.500 0.500 0.000
Pr1 0.000 0.500 0.748
Pr2 0.500 0.000 0.252
Rh1 0.500 0.500 0.500
Pt1 0.000 0.000 0.500
Pt2 0.500 0.000 0.867
Pt3 0.000 0.500 0.133

Entry 8:
Material: Li2SnBr
Method: DFT, PBE
State: optimized geometry

Results
The total energy comes out at -2.9363 eV/atom. The value obtained for the formation energy without anion corrections is -54 kJ per mole of atoms. The value obtained for the energy above the most stable polymorph in this dataset is 0.0000 eV/atom. As for the crystal system: tetragonal.

a b c (Å): 7.019 7.019 6.397
angles (deg): 56.73 56.73 90.00
Sites, in units of the cell vectors:
Br1 0.250 0.750 0.500
Br2 0.500 0.500 0.000
Li1 0.176 0.625 0.250
Li2 0.375 0.426 0.750
Li3 0.875 0.824 0.750
Li4 0.574 0.125 0.250
Sn1 0.000 0.000 0.000
Sn2 0.750 0.250 0.500

Entry 9:
Material: Re2AsPt
Method: DFT, PBE
State: optimized geometry

Results
The total energy comes out at -8.6522 eV/atom. The calculation puts the formation energy from the elements at 0.978 eV/f.u. As for the crystal system: orthorhombic.

a b c (Å): 5.370 5.370 5.370
angles (deg): 147.67 131.49 59.50
Sites, in units of the cell vectors:
Pt1 0.250 0.750 0.500
Re1 0.538 0.538 0.000
Re2 0.962 0.962 0.000
As1 0.750 0.250 0.500

Entry 10:
Material: Cs3SbAu
Method: DFT, PBE
State: optimized geometry

Results
The total energy comes out at -2.3351 eV/atom. The value obtained for the formation energy without anion corrections is -33 kJ per mole of atoms. The value obtained for the energy above the most stable polymorph in this dataset is 0.0000 eV/atom. As for the crystal system: monoclinic.

a b c (Å): 7.152 10.951 13.614
angles (deg): 90.00 104.29 90.00
Sites, in units of the cell vectors:
Sb1 0.171 0.050 0.837
Sb2 0.829 0.950 0.163
Sb3 0.829 0.050 0.663
Sb4 0.171 0.950 0.337
Cs1 0.274 0.411 0.851
Cs2 0.782 0.813 0.868
Cs3 0.726 0.589 0.149
Cs4 0.726 0.411 0.649
Cs5 0.711 0.157 0.915
Cs6 0.711 0.843 0.415
Cs7 0.782 0.187 0.368
Cs8 0.289 0.843 0.085
Cs9 0.274 0.589 0.351
Cs10 0.218 0.813 0.632
Cs11 0.289 0.157 0.585
Cs12 0.218 0.187 0.132
Au1 0.821 0.515 0.418
Au2 0.179 0.485 0.582
Au3 0.821 0.485 0.918
Au4 0.179 0.515 0.082

Entry 11:
Material: LiCrCl2
Method: DFT, PBE
State: optimized geometry

Results
The total energy comes out at -4.6049 eV/atom. The value obtained for the formation energy without anion corrections is -77 kJ per mole of atoms. The value obtained for the energy above the most stable polymorph in this dataset is 0.2331 eV/atom. As for the crystal system: monoclinic.

a b c (Å): 3.495 3.893 7.248
angles (deg): 110.49 90.00 90.00
Sites, in units of the cell vectors:
Cr1 0.500 0.250 0.250
Cl1 0.000 0.125 0.975
Cl2 0.000 0.375 0.525
Li1 0.500 0.750 0.750

Entry 12:
Material: LaSm7Hg2
Method: DFT, PBE
State: optimized geometry

Results
The total energy comes out at -3.5955 eV/atom. The calculation puts the formation energy from the elements at 2.610 eV/f.u. As for the crystal system: orthorhombic.

a b c (Å): 5.483 8.996 8.996
angles (deg): 118.51 90.00 90.00
Sites, in units of the cell vectors:
Sm1 0.500 0.304 0.060
Sm2 0.500 0.500 0.500
Sm3 0.000 0.240 0.760
Sm4 0.500 0.060 0.304
Sm5 0.000 0.760 0.240
Sm6 0.500 0.696 0.940
Sm7 0.500 0.940 0.696
Hg1 0.500 0.305 0.695
Hg2 0.500 0.695 0.305
La1 0.000 0.000 0.000

Entry 13:
Material: Zr2TcNi
Method: DFT, PBE
State: optimized geometry

Results
The total energy comes out at -8.7208 eV/atom. The calculation puts the formation energy from the elements at -1.640 eV/f.u. As for the crystal system: orthorhombic.

a b c (Å): 3.308 3.291 7.175
angles (deg): 62.72 90.00 90.00
Sites, in units of the cell vectors:
Ni1 0.500 0.250 0.250
Tc1 0.500 0.750 0.750
Zr1 0.000 0.000 0.000
Zr2 0.000 0.500 0.500

Entry 14:
Material: CaCSe2O
Method: DFT, PBE
State: optimized geometry

Results
The total energy comes out at -4.3811 eV/atom. The value obtained for the formation energy without anion corrections is 24 kJ per mole of atoms. As for the crystal system: tetragonal.

a b c (Å): 4.351 4.278 4.351
angles (deg): 90.00 90.00 90.00
Sites, in units of the cell vectors:
O1 0.000 0.500 0.000
Ca1 0.500 0.500 0.500
C1 0.000 0.000 0.000
Se1 0.500 0.000 0.000
Se2 0.000 0.000 0.500

Entry 15:
Material: Ca2EuMg
Method: DFT, PBE
State: optimized geometry

Results
The total energy comes out at -3.9625 eV/atom. The value obtained for the energy above the most stable polymorph in this dataset is 0.0066 eV/atom. The calculation puts the formation energy from the elements at 0.022 eV/f.u. As for the crystal system: tetragonal.

a b c (Å): 5.429 5.220 5.220
angles (deg): 90.00 90.00 90.00
Sites, in units of the cell vectors:
Eu1 0.500 0.500 0.500
Mg1 0.500 0.000 0.000
Ca1 0.000 0.000 0.500
Ca2 0.000 0.500 0.000

Entry 16:
Material: Pr6Te3AuS2
Method: DFT, PBE
State: optimized geometry

Results
The total energy comes out at -5.6625 eV/atom. The value obtained for the formation energy without anion corrections is -147 kJ per mole of atoms. As for the crystal system: monoclinic.

a b c (Å): 7.477 7.477 7.693
angles (deg): 99.33 99.33 119.88
Sites, in units of the cell vectors:
Pr1 0.581 0.926 0.776
Pr2 0.272 0.272 0.780
Pr3 0.926 0.581 0.776
Pr4 0.074 0.419 0.224
Pr5 0.728 0.728 0.220
Pr6 0.419 0.074 0.224
Te1 0.163 0.837 0.500
Te2 0.500 0.500 0.500
Te3 0.837 0.163 0.500
S1 0.667 0.333 0.000
S2 0.333 0.667 0.000
Au1 0.000 0.000 0.000

Entry 17:
Material: BaCoP2N
Method: DFT, PBE
State: optimized geometry

Results
The total energy comes out at -5.1936 eV/atom. The value obtained for the formation energy without anion corrections is 43 kJ per mole of atoms. As for the crystal system: tetragonal.

a b c (Å): 5.160 3.524 5.160
angles (deg): 90.00 90.00 90.00
Sites, in units of the cell vectors:
P1 0.500 0.000 0.000
P2 0.000 0.000 0.500
N1 0.000 0.000 0.000
Co1 0.000 0.500 0.000
Ba1 0.500 0.500 0.500

Entry 18:
Material: Y2TlW
Method: DFT, PBE
State: optimized geometry

Results
The total energy comes out at -6.5427 eV/atom. The value obtained for the energy above the most stable polymorph in this dataset is 0.3152 eV/atom. The calculation puts the formation energy from the elements at 2.077 eV/f.u. As for the crystal system: cubic.

a b c (Å): 5.088 5.088 5.088
angles (deg): 60.00 60.00 60.00
Sites, in units of the cell vectors:
W1 0.750 0.750 0.750
Tl1 0.500 0.500 0.500
Y1 0.250 0.250 0.250
Y2 0.000 0.000 0.000

Entry 19:
Material: Mg2Ir2Rh5
Method: DFT, PBE
State: optimized geometry

Results
The total energy comes out at -6.5251 eV/atom. The calculation puts the formation energy from the elements at -1.057 eV/f.u. As for the crystal system: monoclinic.

a b c (Å): 8.542 5.524 7.168
angles (deg): 90.05 126.59 90.01
Sites, in units of the cell vectors:
Mg1 0.175 0.232 0.333
Mg2 0.429 0.480 0.909
Mg3 0.854 0.984 0.758
Mg4 0.718 0.732 0.334
Rh1 0.834 0.477 0.099
Rh2 0.048 0.494 0.557
Rh3 0.553 0.732 0.710
Rh4 0.180 0.243 0.944
Rh5 0.824 0.969 0.109
Rh6 0.569 0.220 0.723
Rh7 0.069 0.987 0.567
Rh8 0.177 0.732 0.957
Rh9 0.452 0.483 0.343
Rh10 0.442 0.981 0.324
Ir1 0.723 0.232 0.333
Ir2 0.834 0.478 0.720
Ir3 0.171 0.732 0.333
Ir4 0.448 0.986 0.947

Entry 20:
Material: CrBiPSe2
Method: DFT, PBE
State: optimized geometry

Results
The total energy comes out at -4.5636 eV/atom. The value obtained for the formation energy without anion corrections is 59 kJ per mole of atoms. As for the crystal system: tetragonal.

a b c (Å): 5.059 4.369 5.059
angles (deg): 90.00 90.00 90.00
Sites, in units of the cell vectors:
Se1 0.000 0.000 0.500
Se2 0.500 0.000 0.000
P1 0.000 0.000 0.000
Cr1 0.000 0.500 0.000
Bi1 0.500 0.500 0.500

| no. | total magnetic moment (μB/atom) |
| --- | --- |
| 1 | 0.000 |
| 2 | 0.817 |
| 3 | 0.000 |
| 4 | 0.800 |
| 5 | 0.000 |
| 6 | 0.141 |
| 7 | 0.000 |
| 8 | 0.000 |
| 9 | 0.000 |
| 10 | 0.000 |
| 11 | 1.226 |
| 12 | 0.000 |
| 13 | 0.000 |
| 14 | 0.000 |
| 15 | 2.009 |
| 16 | 0.000 |
| 17 | 0.000 |
| 18 | 0.269 |
| 19 | 0.000 |
| 20 | 0.083 |